Record 1
Computed, not measured: crystalline Cs2KMgZn at its relaxed geometry at the PBE level of DFT.

Cell: 7.438 7.438 5.472 Å, 90.00 90.00 90.00°
Atoms (fractional coordinates):
Mg1 0.000 0.000 0.500
Cs1 0.000 0.500 0.000
Cs2 0.500 0.000 0.000
K1 0.500 0.500 0.500
Zn1 0.000 0.000 0.000

Computed properties:
SG: P4/mmm, No. 123
calculated formation energy: 0.18 eV/atom

Record 2
Computed, not measured: crystalline BeTeAs2Br at its relaxed geometry at the PBE level of DFT.

Cell: 5.408 5.408 5.618 Å, 90.00 90.00 90.00°
Atoms (fractional coordinates):
Be1 0.500 0.500 0.500
As1 0.000 0.500 0.000
As2 0.500 0.000 0.000
Te1 0.000 0.000 0.000
Br1 0.000 0.000 0.500

Computed properties:
uncorrected formation energy: 6.29 eV per formula unit
SG: P4/mmm, No. 123

Record 3
Computed, not measured: crystalline ErAgRh at its relaxed geometry at the PBE level of DFT.

Cell: 3.512 3.512 5.322 Å, 109.26 109.26 90.00°
Atoms (fractional coordinates):
Ag1 0.276 0.276 0.553
Rh1 0.612 0.612 0.223
Er1 0.962 0.962 0.924

Computed properties:
SG: I4mm, No. 107
calculated formation energy: -0.44 eV/atom

| no. | D(E_F) (states/eV per atom) | magnetic moment (μB per atom) | electronic total energy (eV per atom) |
| --- | --- | --- | --- |
| 1 | 0.770 | 0.000 | -0.96 |
| 2 | 0.921 | 0.235 | -2.31 |
| 3 | 0.647 | 0.000 | -5.36 |